# Nd2Tm6Ge

A relaxed Nd2Tm6Ge crystal (PBE-GGA, the Open Quantum Materials Database).

Computed properties:
The space-group type is P-62m, No. 189. For the electronic total energy, the calculation gives -42.62 eV/f.u. The value obtained for the theoretical density is 8581 kg/m³. For the volume, the calculation gives 266 Å³/f.u. The calculation puts the total magnetization at 0.05 μB/cell.

Cell lengths 8.984, 8.984, 3.806 Å; angles 90.00, 90.00, 120.00 degrees
Atoms (fractional coordinates):
Ge 0.000 0.000 0.500
Nd 0.667 0.333 0.000
Nd 0.333 0.667 0.000
Tm 0.244 0.000 0.000
Tm 0.000 0.244 0.000
Tm 0.756 0.756 0.000
Tm 0.614 0.000 0.500
Tm 0.386 0.386 0.500
Tm 0.000 0.614 0.500

# NdGeW

A relaxed NdGeW crystal (PBE-GGA, the Open Quantum Materials Database).

Computed properties:
The space-group type is F-43m, No. 216. For the electronic total energy, the calculation gives -20.93 eV/f.u. The value obtained for the theoretical density is 9580 kg/m³. For the volume, the calculation gives 69 Å³/f.u. The calculation puts the total magnetization at 0.52 μB/cell.

Cell lengths 4.614, 4.614, 4.614 Å; angles 60.00, 60.00, 60.00 degrees
Atoms (fractional coordinates):
Ge 0.000 0.000 0.000
Nd 0.250 0.250 0.250
W 0.750 0.750 0.750

# NdY2Ge7

A relaxed NdY2Ge7 crystal (PBE-GGA, the Open Quantum Materials Database).

Computed properties:
The space-group type is Cmmm, No. 65. For the electronic total energy, the calculation gives -55.23 eV/f.u. The value obtained for the theoretical density is 6482 kg/m³. For the volume, the calculation gives 213 Å³/f.u. The calculation puts the total magnetization at 0.01 μB/cell.

Cell lengths 12.829, 12.829, 4.165 Å; angles 90.00, 90.00, 161.92 degrees
Atoms (fractional coordinates):
Ge 0.784 0.216 0.000
Ge 0.597 0.403 0.000
Ge 0.403 0.597 0.000
Ge 0.216 0.784 0.000
Ge 0.905 0.095 0.500
Ge 0.500 0.500 0.500
Ge 0.095 0.905 0.500
Nd 0.000 0.000 0.000
Y 0.687 0.313 0.500
Y 0.313 0.687 0.500

# NdYGe

A relaxed NdYGe crystal (PBE-GGA, the Open Quantum Materials Database).

Computed properties:
The space-group type is P6_3/mmc, No. 194. The value obtained for the theoretical density is 6133 kg/m³. The calculation puts the energy above the most stable polymorph in this dataset at 0.750 eV/f.u. For the volume, the calculation gives 83 Å³/f.u. The calculation puts the total magnetization at 0.03 μB/cell.

Cell lengths 5.086, 5.086, 14.783 Å; angles 90.00, 90.00, 120.00 degrees
Atoms (fractional coordinates):
Ge 0.667 0.333 0.110
Ge 0.667 0.333 0.390
Ge 0.333 0.667 0.610
Ge 0.333 0.667 0.890
Nd 0.333 0.667 0.110
Nd 0.333 0.667 0.390
Nd 0.667 0.333 0.610
Nd 0.667 0.333 0.890
Y 0.000 0.000 0.000
Y 0.000 0.000 0.250
Y 0.000 0.000 0.500
Y 0.000 0.000 0.750